Material: LiSc2WF
Method: DFT, GGA+U
State: optimized geometry

Total moment = 0.00 μB per cell
Crystal system = tetragonal
Raw total energy = -4.700 eV per atom
Volume = 18.315 Å³ per atom

```
data_LiSc2WF
_space_group_name_H-M_alt 'P 4/m m m'
_space_group_IT_number 123
_space_group_name_Hall '-P 4 2'
_cell_length_a 5.408
_cell_length_b 5.408
_cell_length_c 3.131
_cell_angle_alpha 90.00
_cell_angle_beta 90.00
_cell_angle_gamma 90.00
loop_
_atom_site_label
_atom_site_fract_x
_atom_site_fract_y
_atom_site_fract_z
_atom_site_occupancy
Li1 0.000 0.000 0.000 1
Sc1 0.000 0.500 0.000 1
W1 0.500 0.500 0.500 1
F1 0.000 0.000 0.500 1
```